The following is a DFT calculation (GGA-PBE) of AcGa3 after structural relaxation.

M_tot: 0.00 μB per cell
ΔE_f: -0.28 eV per atom
offset from the most stable computed form: 1.022 eV/f.u.
density of states at the Fermi level: 0.479 states/eV per atom
theoretical density: 7.5 g/cm3
final energy: -3.58 eV/atom

Unit cell a=7.276 b=7.276 c=7.276 alpha=90.00 beta=90.00 gamma=90.00
Fractional coordinates of all 16 atoms:
Ac: 0.000 0.000 0.000
Ac: 0.000 0.500 0.500
Ac: 0.500 0.000 0.500
Ac: 0.500 0.500 0.000
Ga: 0.000 0.000 0.500
Ga: 0.000 0.500 0.000
Ga: 0.250 0.250 0.250
Ga: 0.250 0.250 0.750
Ga: 0.250 0.750 0.250
Ga: 0.250 0.750 0.750
Ga: 0.500 0.000 0.000
Ga: 0.500 0.500 0.500
Ga: 0.750 0.250 0.250
Ga: 0.750 0.250 0.750
Ga: 0.750 0.750 0.250
Ga: 0.750 0.750 0.750

The following is a DFT calculation (GGA-PBE) of Dy6AlHg2 after structural relaxation.

M_tot: 0.00 μB per cell
ΔE_f: -0.26 eV per atom
density of states at the Fermi level: 1.134 states/eV per atom
theoretical density: 9.2 g/cm3
final energy: -3.81 eV/atom

Unit cell a=8.694 b=8.694 c=8.694 alpha=110.32 beta=109.67 gamma=108.43
Fractional coordinates of all 18 atoms:
Dy: 0.058 0.230 0.827
Dy: 0.254 0.305 0.558
Dy: 0.254 0.695 0.949
Dy: 0.264 0.588 0.324
Dy: 0.264 0.940 0.676
Dy: 0.403 0.230 0.173
Dy: 0.597 0.770 0.827
Dy: 0.736 0.060 0.324
Dy: 0.736 0.412 0.676
Dy: 0.746 0.305 0.051
Dy: 0.746 0.695 0.442
Dy: 0.942 0.770 0.173
Al: 0.000 0.500 0.500
Al: 0.500 0.500 0.000
Hg: 0.000 0.150 0.150
Hg: 0.000 0.850 0.850
Hg: 0.358 0.000 0.358
Hg: 0.642 0.000 0.642

The following is a DFT calculation (GGA-PBE) of Sm2YIn3 after structural relaxation.

M_tot: 0.00 μB per cell
ΔE_f: -0.49 eV per atom
offset from the most stable computed form: 0.026 eV/f.u.
density of states at the Fermi level: 0.614 states/eV per atom
theoretical density: 7.3 g/cm3
final energy: -4.51 eV/atom

Unit cell a=5.384 b=5.384 c=6.609 alpha=90.00 beta=90.00 gamma=120.00
Fractional coordinates of all 6 atoms:
Sm: 0.333 0.667 0.171
Sm: 0.667 0.333 0.829
Y: 0.000 0.000 0.500
In: 0.000 0.000 0.000
In: 0.333 0.667 0.667
In: 0.667 0.333 0.333

The following is a DFT calculation (GGA-PBE) of CsPdSeN2 after structural relaxation.

formation energy from raw total energies: 2.5122 eV/atom
M_tot: 0.46 μB per cell
density of states at the Fermi level: 1.351 states/eV per atom
theoretical density: 4.5 g/cm3
final energy: -2.72 eV/atom

Unit cell a=4.214 b=4.214 c=7.159 alpha=90.00 beta=90.00 gamma=90.00
Fractional coordinates of all 5 atoms:
Cs: 0.000 0.000 0.000
Pd: 0.500 0.500 0.500
Se: 0.000 0.000 0.500
N: 0.000 0.500 0.000
N: 0.500 0.000 0.000

The following is a DFT calculation (GGA-PBE) of Ba6Zn2N after structural relaxation.

formation energy from raw total energies: -0.1872 eV/atom
M_tot: 0.82 μB per cell
offset from the most stable computed form: 0.000 eV/f.u.
density of states at the Fermi level: 1.108 states/eV per atom
theoretical density: 4.3 g/cm3
final energy: -2.68 eV/atom

Unit cell a=7.833 b=8.519 c=13.577 alpha=90.00 beta=124.19 gamma=90.00
Fractional coordinates of all 18 atoms:
Ba: 0.126 0.024 0.233
Ba: 0.126 0.476 0.733
Ba: 0.213 0.712 0.051
Ba: 0.213 0.788 0.551
Ba: 0.350 0.171 0.056
Ba: 0.350 0.329 0.556
Ba: 0.650 0.671 0.444
Ba: 0.650 0.829 0.944
Ba: 0.787 0.212 0.449
Ba: 0.787 0.288 0.949
Ba: 0.874 0.524 0.267
Ba: 0.874 0.976 0.767
Zn: 0.284 0.093 0.746
Zn: 0.284 0.407 0.246
Zn: 0.716 0.593 0.754
Zn: 0.716 0.907 0.254
N: 0.000 0.000 0.000
N: 0.000 0.500 0.500

The following is a DFT calculation (GGA-PBE) of LaIn2PPd after structural relaxation.

M_tot: 0.46 μB per cell
ΔE_f: 1.03 eV per atom
density of states at the Fermi level: 0.964 states/eV per atom
theoretical density: 4.4 g/cm3
final energy: -3.17 eV/atom

Unit cell a=6.158 b=6.158 c=5.038 alpha=90.00 beta=90.00 gamma=90.00
Fractional coordinates of all 5 atoms:
La: 0.000 0.000 0.000
In: 0.000 0.500 0.000
In: 0.500 0.000 0.000
P: 0.500 0.500 0.500
Pd: 0.000 0.000 0.500

The following is a DFT calculation (GGA-PBE) of BeZn2Cl after structural relaxation.

formation energy from raw total energies: 0.0776 eV/atom
M_tot: 0.00 μB per cell
offset from the most stable computed form: 0.680 eV/f.u.
density of states at the Fermi level: 0.269 states/eV per atom
theoretical density: 4.0 g/cm3
final energy: -1.95 eV/atom

Unit cell a=2.829 b=5.679 c=9.139 alpha=90.00 beta=90.00 gamma=90.00
Fractional coordinates of all 8 atoms:
Be: 0.000 0.000 0.000
Be: 0.500 0.500 0.500
Zn: 0.000 0.000 0.522
Zn: 0.000 0.500 0.284
Zn: 0.500 0.000 0.784
Zn: 0.500 0.500 0.022
Cl: 0.000 0.500 0.659
Cl: 0.500 0.000 0.159

The following is a DFT calculation (GGA-PBE) of NdDy8In6 after structural relaxation.

M_tot: 0.00 μB per cell
ΔE_f: -0.21 eV per atom
density of states at the Fermi level: 1.453 states/eV per atom
theoretical density: 7.7 g/cm3
final energy: -4.08 eV/atom

Unit cell a=8.338 b=8.338 c=8.338 alpha=65.99 beta=65.99 gamma=65.99
Fractional coordinates of all 15 atoms:
Nd: 0.000 0.000 0.000
Dy: 0.114 0.445 0.780
Dy: 0.220 0.886 0.555
Dy: 0.333 0.333 0.333
Dy: 0.445 0.780 0.114
Dy: 0.555 0.220 0.886
Dy: 0.667 0.667 0.667
Dy: 0.780 0.114 0.445
Dy: 0.886 0.555 0.220
In: 0.059 0.720 0.398
In: 0.280 0.602 0.941
In: 0.398 0.059 0.720
In: 0.602 0.941 0.280
In: 0.720 0.398 0.059
In: 0.941 0.280 0.602

The following is a DFT calculation (GGA-PBE) of ScNi2Os after structural relaxation.

M_tot: 5.47 μB per cell
ΔE_f: -0.05 eV per atom
offset from the most stable computed form: 0.422 eV/f.u.
density of states at the Fermi level: 1.480 states/eV per atom
theoretical density: 10.5 g/cm3
final energy: -7.33 eV/atom

Unit cell a=6.068 b=6.068 c=6.068 alpha=90.00 beta=90.00 gamma=90.00
Fractional coordinates of all 16 atoms:
Sc: 0.000 0.000 0.000
Sc: 0.000 0.500 0.500
Sc: 0.500 0.000 0.500
Sc: 0.500 0.500 0.000
Ni: 0.250 0.250 0.250
Ni: 0.250 0.250 0.750
Ni: 0.250 0.750 0.250
Ni: 0.250 0.750 0.750
Ni: 0.750 0.250 0.250
Ni: 0.750 0.250 0.750
Ni: 0.750 0.750 0.250
Ni: 0.750 0.750 0.750
Os: 0.000 0.000 0.500
Os: 0.000 0.500 0.000
Os: 0.500 0.000 0.000
Os: 0.500 0.500 0.500

The following is a DFT calculation (GGA-PBE) of BaTm2Pb3 after structural relaxation.

M_tot: 0.00 μB per cell
ΔE_f: -0.40 eV per atom
density of states at the Fermi level: 0.772 states/eV per atom
theoretical density: 9.6 g/cm3
final energy: -4.07 eV/atom

Unit cell a=4.027 b=4.027 c=11.671 alpha=90.00 beta=90.00 gamma=90.00
Fractional coordinates of all 6 atoms:
Ba: 0.000 0.000 0.000
Tm: 0.000 0.000 0.349
Tm: 0.000 0.000 0.651
Pb: 0.500 0.500 0.206
Pb: 0.500 0.500 0.500
Pb: 0.500 0.500 0.794

The following is a DFT calculation (GGA-PBE) of Tb3Sm2Cd2 after structural relaxation.

M_tot: 1.58 μB per cell
ΔE_f: -0.10 eV per atom
offset from the most stable computed form: 0.370 eV/f.u.
density of states at the Fermi level: 1.181 states/eV per atom
theoretical density: 7.9 g/cm3
final energy: -3.69 eV/atom

Unit cell a=3.592 b=32.818 c=3.554 alpha=90.00 beta=90.00 gamma=90.00
Fractional coordinates of all 14 atoms:
Tb: 0.000 0.000 0.000
Tb: 0.000 0.424 0.500
Tb: 0.000 0.576 0.500
Tb: 0.500 0.076 0.500
Tb: 0.500 0.500 0.000
Tb: 0.500 0.924 0.500
Sm: 0.000 0.297 0.500
Sm: 0.000 0.703 0.500
Sm: 0.500 0.203 0.500
Sm: 0.500 0.797 0.500
Cd: 0.000 0.138 0.000
Cd: 0.000 0.862 0.000
Cd: 0.500 0.362 0.000
Cd: 0.500 0.638 0.000

The following is a DFT calculation (GGA-PBE) of NaGdTlPb after structural relaxation.

M_tot: 28.04 μB per cell
ΔE_f: -0.28 eV per atom
density of states at the Fermi level: 0.869 states/eV per atom
theoretical density: 8.7 g/cm3
final energy: -5.65 eV/atom

Unit cell a=7.669 b=7.669 c=7.669 alpha=90.00 beta=90.00 gamma=90.00
Fractional coordinates of all 16 atoms:
Na: 0.000 0.000 0.000
Na: 0.000 0.500 0.500
Na: 0.500 0.000 0.500
Na: 0.500 0.500 0.000
Gd: 0.000 0.000 0.500
Gd: 0.000 0.500 0.000
Gd: 0.500 0.000 0.000
Gd: 0.500 0.500 0.500
Tl: 0.250 0.250 0.750
Tl: 0.250 0.750 0.250
Tl: 0.750 0.250 0.250
Tl: 0.750 0.750 0.750
Pb: 0.250 0.250 0.250
Pb: 0.250 0.750 0.750
Pb: 0.750 0.250 0.750
Pb: 0.750 0.750 0.250

The following is a DFT calculation (GGA-PBE) of BaSrAu after structural relaxation.

M_tot: 0.00 μB per cell
ΔE_f: -0.51 eV per atom
offset from the most stable computed form: 0.028 eV/f.u.
density of states at the Fermi level: 0.930 states/eV per atom
theoretical density: 6.0 g/cm3
final energy: -2.80 eV/atom

Unit cell a=4.019 b=4.019 c=14.552 alpha=90.00 beta=90.00 gamma=90.00
Fractional coordinates of all 6 atoms:
Ba: 0.000 0.000 0.000
Ba: 0.500 0.500 0.500
Sr: 0.000 0.000 0.745
Sr: 0.500 0.500 0.245
Au: 0.000 0.000 0.364
Au: 0.500 0.500 0.864

The following is a DFT calculation (GGA-PBE) of Th2ZrGa3Ir4 after structural relaxation.

M_tot: 0.00 μB per cell
ΔE_f: -0.78 eV per atom
density of states at the Fermi level: 0.732 states/eV per atom
theoretical density: 13.0 g/cm3
final energy: -7.57 eV/atom

Unit cell a=4.212 b=4.212 c=11.069 alpha=90.00 beta=90.00 gamma=90.00
Fractional coordinates of all 10 atoms:
Th: 0.000 0.500 0.228
Th: 0.500 0.000 0.772
Zr: 0.000 0.000 0.500
Ga: 0.000 0.500 0.878
Ga: 0.500 0.000 0.122
Ga: 0.500 0.500 0.500
Ir: 0.000 0.000 0.000
Ir: 0.000 0.500 0.652
Ir: 0.500 0.000 0.348
Ir: 0.500 0.500 0.000

The following is a DFT calculation (GGA-PBE) of YMg2CdP after structural relaxation.

M_tot: 0.00 μB per cell
ΔE_f: 1.33 eV per atom
density of states at the Fermi level: 0.674 states/eV per atom
theoretical density: 2.4 g/cm3
final energy: -1.87 eV/atom

Unit cell a=5.859 b=5.859 c=5.684 alpha=90.00 beta=90.00 gamma=90.00
Fractional coordinates of all 5 atoms:
Y: 0.000 0.000 0.000
Mg: 0.000 0.500 0.000
Mg: 0.500 0.000 0.000
Cd: 0.000 0.000 0.500
P: 0.500 0.500 0.500

The following is a DFT calculation (GGA-PBE) of BiPPt3 after structural relaxation.

M_tot: 0.00 μB per cell
ΔE_f: -0.04 eV per atom
offset from the most stable computed form: 1.227 eV/f.u.
density of states at the Fermi level: 0.430 states/eV per atom
theoretical density: 13.9 g/cm3
final energy: -5.53 eV/atom

Unit cell a=4.617 b=4.617 c=4.617 alpha=90.00 beta=90.00 gamma=90.00
Fractional coordinates of all 5 atoms:
Bi: 0.000 0.000 0.000
P: 0.500 0.500 0.500
Pt: 0.000 0.500 0.500
Pt: 0.500 0.000 0.500
Pt: 0.500 0.500 0.000

The following is a DFT calculation (GGA-PBE) of Y2NiBr after structural relaxation.

formation energy from raw total energies: -0.4104 eV/atom
M_tot: 0.00 μB per cell
offset from the most stable computed form: 1.572 eV/f.u.
density of states at the Fermi level: 0.442 states/eV per atom
theoretical density: 4.9 g/cm3
final energy: -5.51 eV/atom

Unit cell a=7.307 b=7.307 c=7.959 alpha=90.00 beta=90.00 gamma=90.00
Fractional coordinates of all 16 atoms:
Y: 0.212 0.250 0.125
Y: 0.250 0.712 0.375
Y: 0.250 0.788 0.875
Y: 0.288 0.250 0.625
Y: 0.712 0.750 0.625
Y: 0.750 0.212 0.875
Y: 0.750 0.288 0.375
Y: 0.788 0.750 0.125
Ni: 0.000 0.000 0.000
Ni: 0.000 0.500 0.250
Ni: 0.500 0.000 0.750
Ni: 0.500 0.500 0.500
Br: 0.000 0.000 0.500
Br: 0.000 0.500 0.750
Br: 0.500 0.000 0.250
Br: 0.500 0.500 0.000

The following is a DFT calculation (GGA-PBE) of PmDyBi after structural relaxation.

M_tot: 0.00 μB per cell
ΔE_f: -0.63 eV per atom
offset from the most stable computed form: 0.000 eV/f.u.
density of states at the Fermi level: 1.458 states/eV per atom
theoretical density: 9.3 g/cm3
final energy: -5.04 eV/atom

Unit cell a=4.576 b=4.576 c=17.616 alpha=90.00 beta=90.00 gamma=90.00
Fractional coordinates of all 12 atoms:
Pm: 0.000 0.000 0.177
Pm: 0.000 0.000 0.823
Pm: 0.500 0.500 0.323
Pm: 0.500 0.500 0.677
Dy: 0.000 0.500 0.000
Dy: 0.000 0.500 0.500
Dy: 0.500 0.000 0.000
Dy: 0.500 0.000 0.500
Bi: 0.000 0.000 0.364
Bi: 0.000 0.000 0.636
Bi: 0.500 0.500 0.136
Bi: 0.500 0.500 0.864

The following is a DFT calculation (GGA-PBE) of Cs3NdO3 after structural relaxation.

formation energy from raw total energies: -1.8237 eV/atom
M_tot: 0.00 μB per cell
offset from the most stable computed form: 0.105 eV/f.u.
density of states at the Fermi level: 0.000 states/eV per atom
theoretical density: 4.7 g/cm3
final energy: -5.00 eV/atom

Unit cell a=7.751 b=7.751 c=7.861 alpha=95.09 beta=95.09 gamma=117.27
Fractional coordinates of all 14 atoms:
Cs: 0.218 0.782 0.000
Cs: 0.261 0.739 0.500
Cs: 0.353 0.353 0.146
Cs: 0.647 0.647 0.854
Cs: 0.739 0.261 0.500
Cs: 0.782 0.218 0.000
Nd: 0.178 0.178 0.653
Nd: 0.822 0.822 0.347
O: 0.108 0.108 0.357
O: 0.176 0.451 0.766
O: 0.451 0.176 0.766
O: 0.549 0.824 0.234
O: 0.824 0.549 0.234
O: 0.892 0.892 0.643

The following is a DFT calculation (GGA-PBE) of PuAs2Pd6 after structural relaxation.

M_tot: 5.28 μB per cell
ΔE_f: -0.39 eV per atom
offset from the most stable computed form: 0.000 eV/f.u.
density of states at the Fermi level: 1.853 states/eV per atom
theoretical density: 11.0 g/cm3
final energy: -6.48 eV/atom

Unit cell a=4.110 b=4.110 c=9.191 alpha=90.00 beta=90.00 gamma=90.00
Fractional coordinates of all 9 atoms:
Pu: 0.000 0.000 0.000
As: 0.500 0.500 0.137
As: 0.500 0.500 0.863
Pd: 0.000 0.000 0.500
Pd: 0.000 0.500 0.289
Pd: 0.000 0.500 0.711
Pd: 0.500 0.000 0.289
Pd: 0.500 0.000 0.711
Pd: 0.500 0.500 0.500